# 1
A relaxed KTlCuNi2 crystal. Source: Alexandria, functional PBE.

Properties
- ΔH_f (0 K) (eV per formula unit) = 3.471

CIF file:
```
data_KTlCuNi2
_chemical_formula_sum 'K1 Tl1 Cu1 Ni2'
_symmetry_space_group_name_H-M 'P 4/m m m'
_symmetry_Int_Tables_number 123
_symmetry_space_group_name_Hall '-P 4 2'
_cell_length_a 4.708
_cell_length_b 4.708
_cell_length_c 4.975
_cell_angle_alpha 90.00
_cell_angle_beta 90.00
_cell_angle_gamma 90.00
loop_
_atom_site_label
_atom_site_type_symbol
_atom_site_fract_x
_atom_site_fract_y
_atom_site_fract_z
K1 K 0.000 0.000 0.000
Tl1 Tl 0.500 0.500 0.000
Cu1 Cu 0.500 0.500 0.500
Ni1 Ni 0.000 0.500 0.500
```

# 2
A relaxed KZr2CuNi crystal. Source: Alexandria, functional PBE.

Properties
- ΔH_f (0 K) (eV per formula unit) = 3.169

CIF file:
```
data_KZr2CuNi
_chemical_formula_sum 'K1 Zr2 Cu1 Ni1'
_symmetry_space_group_name_H-M 'P 4/m m m'
_symmetry_Int_Tables_number 123
_symmetry_space_group_name_Hall '-P 4 2'
_cell_length_a 4.917
_cell_length_b 4.917
_cell_length_c 4.834
_cell_angle_alpha 90.00
_cell_angle_beta 90.00
_cell_angle_gamma 90.00
loop_
_atom_site_label
_atom_site_type_symbol
_atom_site_fract_x
_atom_site_fract_y
_atom_site_fract_z
K1 K 0.000 0.000 0.000
Zr1 Zr 0.000 0.500 0.500
Cu1 Cu 0.500 0.500 0.000
Ni1 Ni 0.500 0.500 0.500
```

# 3
A relaxed KNpCuO6 crystal. Source: Alexandria, functional PBE.

Properties
- uncorrected formation energy (kJ/mol of atoms) = -152.0

CIF file:
```
data_KNpCuO6
_chemical_formula_sum 'K2 Np2 Cu2 O12'
_symmetry_space_group_name_H-M 'P -3 1 c'
_symmetry_Int_Tables_number 163
_symmetry_space_group_name_Hall '-P 3 2c'
_cell_length_a 5.2621
_cell_length_b 5.2621
_cell_length_c 12.1579
_cell_angle_alpha 90.00
_cell_angle_beta 90.00
_cell_angle_gamma 120.00
loop_
_atom_site_label
_atom_site_type_symbol
_atom_site_fract_x
_atom_site_fract_y
_atom_site_fract_z
K1 K 0.0000 0.0000 0.0000
Np1 Np 0.3333 0.6667 0.2500
Cu1 Cu 0.3333 0.6667 0.7500
O1 O 0.0049 0.3771 0.6588
```

# 4
A relaxed K3Np2CuO9 crystal. Source: Alexandria, functional PBE.

Properties
- uncorrected formation energy (kJ/mol of atoms) = -207.9

CIF file:
```
data_K3Np2CuO9
_chemical_formula_sum 'K3 Np2 Cu1 O9'
_symmetry_space_group_name_H-M 'P -3 m 1'
_symmetry_Int_Tables_number 164
_symmetry_space_group_name_Hall '-P 3 2"'
_cell_length_a 5.9139
_cell_length_b 5.9139
_cell_length_c 7.2684
_cell_angle_alpha 90.00
_cell_angle_beta 90.00
_cell_angle_gamma 120.00
loop_
_atom_site_label
_atom_site_type_symbol
_atom_site_fract_x
_atom_site_fract_y
_atom_site_fract_z
K1 K 0.0000 0.0000 0.0000
K2 K 0.3333 0.6667 0.6559
Np1 Np 0.3333 0.6667 0.1759
Cu1 Cu 0.0000 0.0000 0.5000
O1 O 0.0000 0.5000 0.0000
O2 O 0.1724 0.3447 0.3271
```

# 5
A relaxed K4Np3CuO12 crystal. Source: Alexandria, functional PBE.

Properties
- uncorrected formation energy (kJ/mol of atoms) = -226.3

CIF file:
```
data_K4Np3CuO12
_chemical_formula_sum 'K8 Np6 Cu2 O24'
_symmetry_space_group_name_H-M 'I m -3 m'
_symmetry_Int_Tables_number 229
_symmetry_space_group_name_Hall '-I 4 2 3'
_cell_length_a 8.527
_cell_length_b 8.527
_cell_length_c 8.527
_cell_angle_alpha 90.00
_cell_angle_beta 90.00
_cell_angle_gamma 90.00
loop_
_atom_site_label
_atom_site_type_symbol
_atom_site_fract_x
_atom_site_fract_y
_atom_site_fract_z
K1 K 0.250 0.250 0.250
Np1 Np 0.000 0.000 0.500
Cu1 Cu 0.000 0.000 0.000
O1 O 0.000 0.000 0.273
O2 O 0.000 0.250 0.500
```

# 6
A relaxed KNp2CuO8 crystal. Source: Alexandria, functional PBE.

Properties
- uncorrected formation energy (kJ/mol of atoms) = -205.1

CIF file:
```
data_KNp2CuO8
_chemical_formula_sum 'K2 Np4 Cu2 O16'
_symmetry_space_group_name_H-M 'C 1 2/m 1'
_symmetry_Int_Tables_number 12
_cell_length_a 7.923
_cell_length_b 6.752
_cell_length_c 7.019
_cell_angle_alpha 90.00
_cell_angle_beta 93.66
_cell_angle_gamma 90.00
loop_
_symmetry_equiv_pos_as_xyz
'x,y,z'
'-x,-y,-z'
'-x,y,-z'
'x,-y,z'
'x+1/2,y+1/2,z'
'-x+1/2,-y+1/2,-z'
'-x+1/2,y+1/2,-z'
'x+1/2,-y+1/2,z'
loop_
_atom_site_label
_atom_site_type_symbol
_atom_site_fract_x
_atom_site_fract_y
_atom_site_fract_z
K1 K 0.000 0.000 0.000
Np1 Np 0.001 0.500 0.259
Cu1 Cu 0.000 0.000 0.500
O1 O 0.010 0.218 0.708
O2 O 0.154 0.500 0.971
O3 O 0.162 0.500 0.483
```

# 7
A relaxed K3NpCu2O6 crystal. Source: Alexandria, functional PBE.

Properties
- uncorrected formation energy (kJ/mol of atoms) = -163.2

CIF file:
```
data_K3NpCu2O6
_chemical_formula_sum 'K6 Np2 Cu4 O12'
_symmetry_space_group_name_H-M 'C 1 2/m 1'
_symmetry_Int_Tables_number 12
_cell_length_a 5.692
_cell_length_b 12.586
_cell_length_c 5.916
_cell_angle_alpha 90.00
_cell_angle_beta 98.51
_cell_angle_gamma 90.00
loop_
_symmetry_equiv_pos_as_xyz
'x,y,z'
'-x,-y,-z'
'-x,y,-z'
'x,-y,z'
'x+1/2,y+1/2,z'
'-x+1/2,-y+1/2,-z'
'-x+1/2,y+1/2,-z'
'x+1/2,-y+1/2,z'
loop_
_atom_site_label
_atom_site_type_symbol
_atom_site_fract_x
_atom_site_fract_y
_atom_site_fract_z
K1 K 0.000 0.000 0.000
K2 K 0.000 0.321 0.000
Np1 Np 0.000 0.500 0.500
Cu1 Cu 0.000 0.121 0.500
O1 O 0.137 0.500 0.224
O2 O 0.246 0.381 0.658
```

# 8
A relaxed KNpCuO5 crystal. Source: Alexandria, functional PBE.

Properties
- uncorrected formation energy (kJ/mol of atoms) = -184.6

CIF file:
```
data_KNpCuO5
_chemical_formula_sum 'K4 Np4 Cu4 O20'
_symmetry_space_group_name_H-M 'C 1 2/c 1'
_symmetry_Int_Tables_number 15
_cell_length_a 8.556
_cell_length_b 10.159
_cell_length_c 6.043
_cell_angle_alpha 90.00
_cell_angle_beta 119.15
_cell_angle_gamma 90.00
loop_
_symmetry_equiv_pos_as_xyz
'x,y,z'
'-x,-y,-z'
'-x,y,-z+1/2'
'x,-y,z+1/2'
'x+1/2,y+1/2,z'
'-x+1/2,-y+1/2,-z'
'-x+1/2,y+1/2,-z+1/2'
'x+1/2,-y+1/2,z+1/2'
loop_
_atom_site_label
_atom_site_type_symbol
_atom_site_fract_x
_atom_site_fract_y
_atom_site_fract_z
K1 K 0.000 0.095 0.250
Np1 Np 0.250 0.250 0.000
Cu1 Cu 0.000 0.451 0.250
O1 O 0.000 0.159 0.750
O2 O 0.151 0.317 0.212
O3 O 0.179 0.416 0.798
```

# 9
A relaxed K3NpCu2O9 crystal. Source: Alexandria, functional PBE.

Properties
- uncorrected formation energy (kJ/mol of atoms) = -125.8

CIF file:
```
data_K3NpCu2O9
_chemical_formula_sum 'K3 Np1 Cu2 O9'
_symmetry_space_group_name_H-M 'P -3 m 1'
_symmetry_Int_Tables_number 164
_symmetry_space_group_name_Hall '-P 3 2"'
_cell_length_a 5.6620
_cell_length_b 5.6620
_cell_length_c 7.0557
_cell_angle_alpha 90.00
_cell_angle_beta 90.00
_cell_angle_gamma 120.00
loop_
_atom_site_label
_atom_site_type_symbol
_atom_site_fract_x
_atom_site_fract_y
_atom_site_fract_z
K1 K 0.0000 0.0000 0.0000
K2 K 0.3333 0.6667 0.6833
Np1 Np 0.0000 0.0000 0.5000
Cu1 Cu 0.3333 0.6667 0.1622
O1 O 0.0000 0.5000 0.0000
O2 O 0.1658 0.3316 0.3342
```

# 10
A relaxed KNpCuO4 crystal. Source: Alexandria, functional PBE.

Properties
- uncorrected formation energy (kJ/mol of atoms) = -190.1

CIF file:
```
data_KNpCuO4
_chemical_formula_sum 'K4 Np4 Cu4 O16'
_symmetry_space_group_name_H-M 'I m m a'
_symmetry_Int_Tables_number 74
_symmetry_space_group_name_Hall '-I 2b 2'
_cell_length_a 6.124
_cell_length_b 6.864
_cell_length_c 10.874
_cell_angle_alpha 90.00
_cell_angle_beta 90.00
_cell_angle_gamma 90.00
loop_
_atom_site_label
_atom_site_type_symbol
_atom_site_fract_x
_atom_site_fract_y
_atom_site_fract_z
K1 K 0.000 0.250 0.181
Np1 Np 0.000 0.000 0.500
Cu1 Cu 0.250 0.250 0.750
O1 O 0.000 0.058 0.685
O2 O 0.207 0.250 0.480
```

# 11
A relaxed K2Np3CuS8 crystal. Source: Alexandria, functional PBE.

Properties
- uncorrected formation energy (kJ/mol of atoms) = -110.1

CIF file:
```
data_K2Np3CuS8
_chemical_formula_sum 'K6 Np9 Cu3 S24'
_symmetry_space_group_name_H-M 'R 3 m'
_symmetry_Int_Tables_number 160
_symmetry_space_group_name_Hall 'R 3 -2"'
_cell_length_a 7.9209
_cell_length_b 7.9209
_cell_length_c 23.3636
_cell_angle_alpha 90.00
_cell_angle_beta 90.00
_cell_angle_gamma 120.00
loop_
_atom_site_label
_atom_site_type_symbol
_atom_site_fract_x
_atom_site_fract_y
_atom_site_fract_z
K1 K 0.0000 0.0000 0.0000
K2 K 0.0000 0.0000 0.3634
Np1 Np 0.0013 0.5006 0.8620
Cu1 Cu 0.0000 0.0000 0.8066
S1 S 0.0000 0.0000 0.1336
S2 S 0.0000 0.0000 0.5876
S3 S 0.0008 0.5004 0.1342
S4 S 0.1830 0.3660 0.9238
```

Repeat the seventh record exactly.
A relaxed K3NpCu2O6 crystal. Source: Alexandria, functional PBE.

Properties
- uncorrected formation energy (kJ/mol of atoms) = -163.2

CIF file:
```
data_K3NpCu2O6
_chemical_formula_sum 'K6 Np2 Cu4 O12'
_symmetry_space_group_name_H-M 'C 1 2/m 1'
_symmetry_Int_Tables_number 12
_cell_length_a 5.692
_cell_length_b 12.586
_cell_length_c 5.916
_cell_angle_alpha 90.00
_cell_angle_beta 98.51
_cell_angle_gamma 90.00
loop_
_symmetry_equiv_pos_as_xyz
'x,y,z'
'-x,-y,-z'
'-x,y,-z'
'x,-y,z'
'x+1/2,y+1/2,z'
'-x+1/2,-y+1/2,-z'
'-x+1/2,y+1/2,-z'
'x+1/2,-y+1/2,z'
loop_
_atom_site_label
_atom_site_type_symbol
_atom_site_fract_x
_atom_site_fract_y
_atom_site_fract_z
K1 K 0.000 0.000 0.000
K2 K 0.000 0.321 0.000
Np1 Np 0.000 0.500 0.500
Cu1 Cu 0.000 0.121 0.500
O1 O 0.137 0.500 0.224
O2 O 0.246 0.381 0.658
```

What did the first record say?
A relaxed KTlCuNi2 crystal. Source: Alexandria, functional PBE.

Properties
- ΔH_f (0 K) (eV per formula unit) = 3.471

CIF file:
```
data_KTlCuNi2
_chemical_formula_sum 'K1 Tl1 Cu1 Ni2'
_symmetry_space_group_name_H-M 'P 4/m m m'
_symmetry_Int_Tables_number 123
_symmetry_space_group_name_Hall '-P 4 2'
_cell_length_a 4.708
_cell_length_b 4.708
_cell_length_c 4.975
_cell_angle_alpha 90.00
_cell_angle_beta 90.00
_cell_angle_gamma 90.00
loop_
_atom_site_label
_atom_site_type_symbol
_atom_site_fract_x
_atom_site_fract_y
_atom_site_fract_z
K1 K 0.000 0.000 0.000
Tl1 Tl 0.500 0.500 0.000
Cu1 Cu 0.500 0.500 0.500
Ni1 Ni 0.000 0.500 0.500
```